Material: ZnBiIr
Method: DFT, PBE
State: relaxed

Properties
The calculation puts the energy above the most stable polymorph in this dataset at 84 meV per atom. The total magnetization is 0.00 μB per cell. The formation energy comes out at 0.037 eV per atom. The crystal system is monoclinic.

```
ZnBiIr
1.0
8.103 0.000 0.000
0.000 4.554 0.000
-3.897 0.000 6.597
Zn Bi Ir
4 4 4
Cartesian
-0.054 0.000 2.534
0.208 2.277 4.063
3.998 2.277 2.534
4.260 0.000 4.063
1.320 2.277 0.995
-1.165 0.000 5.602
5.371 0.000 0.995
2.886 2.277 5.602
-2.517 2.277 4.586
2.671 0.000 2.011
1.535 0.000 4.586
6.723 2.277 2.011
```


Material: Li2FeSnIr
Method: DFT, PBE
State: relaxed

Properties
The total magnetization is 3.32 μB per cell. The formation energy comes out at 0.499 eV per atom. The crystal system is tetragonal.

```
Li2FeSnIr
1.0
4.563 0.000 0.000
0.000 4.563 0.000
0.000 0.000 4.707
Li Fe Sn Ir
2 1 1 1
Cartesian
0.000 2.281 0.000
2.281 0.000 0.000
0.000 0.000 2.354
2.281 2.281 2.354
0.000 0.000 0.000
```